(1)
Density functional theory data (PBE) for a geometry-optimized Nd2ErTl9 structure.

Properties
N(E_F) (states/eV per atom): 0.336
Calculated total energy (eV/cell): -38.7

Structure (extended XYZ):
```
12
Lattice="-2.5540 4.0725 -0.1675 -3.8275 -2.4643 -1.5536 -4.2013 -2.0737 13.6400" Properties=species:S:1:pos:R:3 pbc="T T T"
Nd -1.3934 -0.6878 4.5240
Nd -2.8078 -1.3859 9.1160
Er 0.0000 0.0000 0.0000
Tl -3.1908 0.8041 -0.8606
Tl -4.5865 0.1152 3.6709
Tl -5.9963 -0.5807 8.2480
Tl -1.9599 1.6992 2.1333
Tl -3.3777 0.9994 6.7362
Tl -4.7954 0.2996 11.3391
Tl -2.5966 -1.5692 1.4403
Tl -4.0144 -2.2690 6.0432
Tl -5.4321 -2.9688 10.6461
```



(2)
Density functional theory data (PBE) for a geometry-optimized Nd9Er2Tl structure.

Properties
N(E_F) (states/eV per atom): 1.266
Calculated total energy (eV/cell): -55.0

Structure (extended XYZ):
```
12
Lattice="-3.9271 1.7374 2.6891 0.9224 -3.4613 3.5833 9.3750 9.9901 7.2366" Properties=species:S:1:pos:R:3 pbc="T T T"
Nd -1.5023 -0.8619 3.1362
Nd 1.6009 2.4449 5.5316
Nd 4.7694 5.8213 7.9774
Nd -0.4368 2.4956 2.5230
Nd 2.7240 5.8637 4.9628
Nd 5.8847 9.2319 7.4026
Nd 1.9879 -0.1037 2.9701
Nd 5.1487 3.2644 5.4100
Nd 8.3095 6.6326 7.8498
Er 3.1136 3.3179 2.4034
Er 6.2614 6.6722 4.8332
Tl 0.0000 0.0000 0.0000
```



(3)
Density functional theory data (PBE) for a geometry-optimized Nd3Er2Tl3 structure.

Properties
N(E_F) (states/eV per atom): 1.095
Calculated total energy (eV/cell): -32.7

Structure (extended XYZ):
```
8
Lattice="4.4415 0.0000 0.0000 0.0000 5.0779 0.0000 -2.2207 -2.5389 10.5946" Properties=species:S:1:pos:R:3 pbc="T T T"
Nd 2.2207 2.5389 2.5559
Nd 0.0000 0.0000 8.0387
Nd 2.2207 0.0000 0.0000
Er 2.2207 0.0000 5.0308
Er 0.0000 2.5389 5.5637
Tl 0.0000 0.0000 2.7849
Tl 0.0000 2.5389 0.0000
Tl 2.2207 2.5389 7.8097
```



(4)
Density functional theory data (PBE) for a geometry-optimized NdEr5Tl8 structure.

Properties
N(E_F) (states/eV per atom): 0.741
Calculated total energy (eV/cell): -49.6

Structure (extended XYZ):
```
14
Lattice="8.0305 -0.0410 0.0704 -2.7558 7.5430 -0.0704 -2.5190 -3.8342 6.5916" Properties=species:S:1:pos:R:3 pbc="T T T"
Nd -1.2595 0.8856 4.9261
Er -1.0804 2.2479 0.7855
Er 3.9520 5.8783 1.5657
Er 2.6779 2.2342 4.4061
Er 2.7558 -1.9376 3.3310
Er -0.0381 -3.0249 6.4258
Tl -1.2016 5.3757 0.3156
Tl 5.6781 -2.1637 4.5873
Tl 4.5564 0.5774 2.4092
Tl 1.7305 -0.3927 5.9729
Tl 1.7574 3.5457 1.5037
Tl 0.1905 3.6428 5.7669
Tl 0.8445 0.4807 2.5133
Tl -2.5328 3.6051 3.2974
```



(5)
Density functional theory data (PBE) for a geometry-optimized Nd5Er4Tl4 structure.

Properties
N(E_F) (states/eV per atom): 1.061
Calculated total energy (eV/cell): -54.8

Structure (extended XYZ):
```
13
Lattice="4.8839 0.0000 1.2417 2.4420 8.9465 0.6209 0.2374 0.0000 9.2915" Properties=species:S:1:pos:R:3 pbc="T T T"
Nd 5.7836 8.1632 7.9284
Nd 1.7797 0.7833 3.2257
Nd 0.0000 0.0000 0.0000
Nd 4.6909 6.2588 2.0009
Nd 2.8724 2.6877 9.1532
Er 5.7992 4.4290 7.8673
Er 3.7925 2.7507 5.5342
Er 1.7641 4.5175 3.2868
Er 3.7708 6.1957 5.6199
Tl 4.5621 2.9832 2.5076
Tl 3.0012 5.9633 8.6465
Tl 6.5908 7.6404 4.7538
Tl 0.9725 1.3061 6.4003
```



(6)
Density functional theory data (PBE) for a geometry-optimized NdEr4Tl structure.

Properties
N(E_F) (states/eV per atom): 1.091
Calculated total energy (eV/cell): -26.0
Energy above the most stable polymorph in this dataset (meV/atom): 0.0

Structure (extended XYZ):
```
6
Lattice="-1.2370 3.3083 -0.6134 -3.3459 -1.2785 -0.1479 -1.4037 2.0603 13.9425" Properties=species:S:1:pos:R:3 pbc="T T T"
Nd 0.0000 0.0000 0.0000
Er -2.5438 1.3852 2.1255
Er -0.9097 1.3353 9.0361
Er -0.4939 0.7250 4.9063
Er -3.4428 2.7048 11.0557
Tl -2.9933 2.0450 6.5906
```



(7)
Density functional theory data (PBE) for a geometry-optimized Nd2Er4Tl structure.

Properties
N(E_F) (states/eV per atom): 1.196
Calculated total energy (eV/cell): -60.6
Energy above the most stable polymorph in this dataset (meV/atom): 0.0

Structure (extended XYZ):
```
14
Lattice="10.6352 0.0000 0.0000 0.0000 5.0909 -4.0919 0.0000 -1.1632 8.9800" Properties=species:S:1:pos:R:3 pbc="T T T"
Nd 10.1813 3.5591 -0.7831
Nd 0.4539 0.3685 5.6711
Nd 4.8636 2.9141 3.6253
Nd 5.7716 1.0135 1.2628
Er 7.9746 2.2674 5.4258
Er 8.9845 1.6909 2.1029
Er 6.9687 4.2364 0.0569
Er 7.9786 -0.2782 7.4719
Er 2.6566 4.2058 -2.5838
Er 3.6665 -0.3088 4.8311
Er 1.6507 2.2368 2.7852
Er 2.6606 1.6602 -0.5377
Tl 0.0000 0.0000 0.0000
Tl 5.3176 2.5454 -2.0460
```



(8)
Density functional theory data (PBE) for a geometry-optimized Nd6Er2Tl structure.

Properties
N(E_F) (states/eV per atom): 1.419
Calculated total energy (eV/cell): -40.0
Energy above the most stable polymorph in this dataset (meV/atom): 72.1

Structure (extended XYZ):
```
9
Lattice="-0.9162 -1.6715 -3.0192 9.7007 -3.8190 -0.8294 -6.5882 -3.7623 6.2055" Properties=species:S:1:pos:R:3 pbc="T T T"
Nd 0.8205 -2.8979 1.3625
Nd 4.5503 -7.6048 0.7230
Nd 1.3759 -6.3550 0.9944
Nd 2.6161 -2.0460 -1.7724
Nd -2.3540 -1.6481 1.6339
Nd 6.1685 -3.4446 -2.0762
Er 4.1615 -3.9499 0.9239
Er -1.9652 -5.3030 1.4330
Tl 0.0000 0.0000 0.0000
```